Entry 1:
Compound: Zr12NiSn6
Source: the Alexandria database
Functional: PBE
Structure: optimized geometry

* density of states at the Fermi level: 0.995 states/eV per atom
* formation enthalpy at 0 K: -0.0769 eV per atom

Unit cell a=12.1157 b=12.1157 c=11.1038 alpha=90.00 beta=90.00 gamma=120.00
Space group R-3 (No. 148, hexagonal axes)
Asymmetric unit:
Zr1 0.0264 0.1721 0.3812 [18 per cell]
Zr2 0.0751 0.1892 0.8665 [18 per cell]
Ni1 0.0000 0.0000 0.0000 [3 per cell]
Sn1 0.0344 0.4101 0.2968 [18 per cell]


Entry 2:
Compound: ZrNi4Sn
Source: the Alexandria database
Functional: PBE
Structure: optimized geometry

* density of states at the Fermi level: 0.995 states/eV per atom
* formation enthalpy at 0 K: -0.3760 eV per atom

Unit cell a=6.940 b=6.940 c=6.940 alpha=90.00 beta=90.00 gamma=90.00
Space group F-43m (No. 216)
Asymmetric unit:
Zr1 0.000 0.000 0.000 [4 per cell]
Ni1 0.125 0.125 0.625 [16 per cell]
Sn1 0.250 0.250 0.250 [4 per cell]


Entry 3:
Compound: ZrNiSn2
Source: the Alexandria database
Functional: PBE
Structure: optimized geometry

* density of states at the Fermi level: 0.843 states/eV per atom
* formation enthalpy at 0 K: 0.1030 eV per atom

Unit cell a=4.289 b=4.289 c=19.315 alpha=90.00 beta=90.00 gamma=90.00
Space group I-42d (No. 122)
Asymmetric unit:
Zr1 0.000 0.000 0.000 [4 per cell]
Ni1 0.000 0.000 0.500 [4 per cell]
Sn1 0.228 0.250 0.625 [8 per cell]


Entry 4:
Compound: ZrNi2Sn
Source: the Alexandria database
Functional: PBE
Structure: optimized geometry

* density of states at the Fermi level: 1.065 states/eV per atom
* formation enthalpy at 0 K: 0.0696 eV per atom

Unit cell a=4.129 b=4.129 c=17.176 alpha=90.00 beta=90.00 gamma=90.00
Space group I-42d (No. 122)
Asymmetric unit:
Zr1 0.000 0.000 0.000 [4 per cell]
Ni1 0.235 0.250 0.625 [8 per cell]
Sn1 0.000 0.000 0.500 [4 per cell]


Entry 5:
Compound: ZrNi2Sn
Source: the Alexandria database
Functional: PBE
Structure: optimized geometry

* density of states at the Fermi level: 0.666 states/eV per atom
* formation enthalpy at 0 K: -0.3212 eV per atom

Unit cell a=4.348 b=4.348 c=3.434 alpha=90.00 beta=90.00 gamma=90.00
Space group P4/mmm (No. 123)
Asymmetric unit:
Zr1 0.000 0.000 0.000 [1 per cell]
Ni1 0.000 0.500 0.500 [2 per cell]
Sn1 0.500 0.500 0.000 [1 per cell]


Entry 6:
Compound: Zr6NiSn2
Source: the Alexandria database
Functional: PBE
Structure: optimized geometry

* density of states at the Fermi level: 1.070 states/eV per atom
* formation enthalpy at 0 K: -0.4423 eV per atom

Unit cell a=7.9738 b=7.9738 c=3.5519 alpha=90.00 beta=90.00 gamma=120.00
Space group P-62m (No. 189)
Asymmetric unit:
Zr1 0.0000 0.3969 0.0000 [3 per cell]
Zr2 0.0000 0.7555 0.5000 [3 per cell]
Ni1 0.0000 0.0000 0.0000 [1 per cell]
Sn1 0.3333 0.6667 0.5000 [2 per cell]


Entry 7:
Compound: ZrNiSn2
Source: the Alexandria database
Functional: PBE
Structure: optimized geometry

* density of states at the Fermi level: 0.787 states/eV per atom
* formation enthalpy at 0 K: 0.0255 eV per atom

Unit cell a=6.849 b=6.849 c=6.849 alpha=90.00 beta=90.00 gamma=90.00
Space group Fm-3m (No. 225)
Asymmetric unit:
Zr1 0.000 0.000 0.000 [4 per cell]
Ni1 0.000 0.000 0.500 [4 per cell]
Sn1 0.250 0.250 0.250 [8 per cell]


Entry 8:
Compound: ZrNi3Sn
Source: the Alexandria database
Functional: PBE
Structure: optimized geometry

* density of states at the Fermi level: 0.741 states/eV per atom
* formation enthalpy at 0 K: 0.9380 eV per atom
* energy above the most stable polymorph in this dataset: 0.271 eV per atom

Unit cell a=4.664 b=4.664 c=4.664 alpha=90.00 beta=90.00 gamma=90.00
Space group Pm-3m (No. 221)
Asymmetric unit:
Zr1 0.000 0.000 0.000 [1 per cell]
Ni1 0.000 0.000 0.500 [3 per cell]
Sn1 0.500 0.500 0.500 [1 per cell]


Entry 9:
Compound: ZrNi5Sn
Source: the Alexandria database
Functional: PBE
Structure: optimized geometry

* density of states at the Fermi level: 1.106 states/eV per atom
* formation enthalpy at 0 K: -0.3216 eV per atom

Unit cell a=7.912 b=4.780 c=10.173 alpha=90.00 beta=90.00 gamma=90.00
Space group Pnma (No. 62)
Asymmetric unit:
Zr1 0.242 0.250 0.063 [4 per cell]
Ni1 0.047 0.250 0.595 [4 per cell]
Ni2 0.067 0.501 0.809 [8 per cell]
Ni3 0.086 0.750 0.017 [4 per cell]
Ni4 0.189 0.750 0.240 [4 per cell]
Sn1 0.139 0.250 0.360 [4 per cell]


Entry 10:
Compound: ZrNi15Sn4
Source: the Alexandria database
Functional: PBE
Structure: optimized geometry

* density of states at the Fermi level: 0.542 states/eV per atom
* formation enthalpy at 0 K: -0.2378 eV per atom

Unit cell a=3.744 b=3.744 c=18.612 alpha=90.00 beta=90.00 gamma=90.00
Space group P4/mmm (No. 123)
Asymmetric unit:
Zr1 0.000 0.000 0.000 [1 per cell]
Ni1 0.000 0.500 0.101 [4 per cell]
Ni2 0.000 0.500 0.300 [4 per cell]
Ni3 0.000 0.500 0.500 [2 per cell]
Ni4 0.500 0.500 0.000 [1 per cell]
Ni5 0.500 0.500 0.201 [2 per cell]
Ni6 0.500 0.500 0.400 [2 per cell]
Sn1 0.000 0.000 0.201 [2 per cell]
Sn2 0.000 0.000 0.400 [2 per cell]


Entry 11:
Compound: ZrNi3Sn
Source: the Alexandria database
Functional: PBE
Structure: optimized geometry

* density of states at the Fermi level: 0.747 states/eV per atom
* formation enthalpy at 0 K: 0.6666 eV per atom
* energy above the most stable polymorph in this dataset: 0.000 eV per atom

Unit cell a=4.567 b=4.567 c=4.567 alpha=90.00 beta=90.00 gamma=90.00
Space group Pm-3m (No. 221)
Asymmetric unit:
Zr1 0.000 0.000 0.000 [1 per cell]
Ni1 0.000 0.500 0.500 [3 per cell]
Sn1 0.500 0.500 0.500 [1 per cell]


Entry 12:
Compound: SrNi
Source: the Alexandria database
Functional: PBE
Structure: optimized geometry

* formation enthalpy at 0 K: 0.8041 eV per atom

Unit cell a=8.088 b=8.088 c=8.088 alpha=90.00 beta=90.00 gamma=90.00
Space group Pm-3n (No. 223)
Asymmetric unit:
Sr1 0.000 0.250 0.500 [6 per cell]
Ni1 0.000 0.500 0.250 [6 per cell]


What is the formation enthalpy at 0 K in the third record?
0.1030 eV per atom